# Nd3Sc5S12 (PBE, relaxed)
data_Nd3Sc5S12
_space_group_name_H-M_alt 'I a -3 d'
_space_group_IT_number 230
_space_group_name_Hall '-I 4bd 2c 3'
_cell_length_a 15.729
_cell_length_b 15.729
_cell_length_c 15.729
_cell_angle_alpha 90.00
_cell_angle_beta 90.00
_cell_angle_gamma 90.00
loop_
_atom_site_label
_atom_site_type_symbol
_atom_site_fract_x
_atom_site_fract_y
_atom_site_fract_z
Nd1 Nd 0.000 0.250 0.125
Sc1 Sc 0.000 0.000 0.000
Sc2 Sc 0.000 0.250 0.375
S1 S 0.026 0.062 0.651
# Final energy = -6.645 eV/atom
# Total magnetization = 0.0000 μB/atom

# Nd2ScS3 (PBE, relaxed)
data_Nd2ScS3
_space_group_name_H-M_alt 'P -3 m 1'
_space_group_IT_number 164
_space_group_name_Hall '-P 3 2"'
_cell_length_a 3.9246
_cell_length_b 3.9246
_cell_length_c 9.7823
_cell_angle_alpha 90.00
_cell_angle_beta 90.00
_cell_angle_gamma 120.00
loop_
_atom_site_label
_atom_site_type_symbol
_atom_site_fract_x
_atom_site_fract_y
_atom_site_fract_z
Nd1 Nd 0.3333 0.6667 0.1758
Sc1 Sc 0.0000 0.0000 0.5000
S1 S 0.0000 0.0000 0.0000
S2 S 0.3333 0.6667 0.6417
# Final energy = -6.657 eV/atom
# Total magnetization = 0.0000 μB/atom
# Polymorph energy (0 for the lowest one) = 0.0 meV/atom